SrCaSb2: optimized geometry, PBE-GGA.

abc: 5.0683 5.0683 19.3708
angles: 90.00 90.00 120.00
Space group R3m (No. 160, hexagonal axes)
One atom of each set of equivalent atoms:
Sr1 0.0000 0.0000 0.0000 (multiplicity 3)
Ca1 0.0000 0.0000 0.1801 (multiplicity 3)
Sb1 0.0000 0.0000 0.5936 (multiplicity 3)
Sb2 0.0000 0.0000 0.7536 (multiplicity 3)

Output
The uncorrected energy comes out at -3.79 eV/atom.